Record 1
# LaPr2Hg3

A relaxed LaPr2Hg3 crystal (PBE, Alexandria via LeMat-Bulk).

```
LaPr2Hg3
1.0
3.880 0.000 0.000
0.000 3.880 0.000
0.000 0.000 11.656
La Pr Hg
1 2 3
Direct
0.000 0.000 0.000
0.000 0.000 0.335
0.000 0.000 0.665
0.500 0.500 0.171
0.500 0.500 0.500
0.500 0.500 0.829
```

Values from the calculation:
Electronic total energy   -3.046 eV/atom
Fermi-level density of states   1.1662 states/eV per atom
Space-group type   P4/mmm, No. 123

***

Record 2
# SmPuIr

A relaxed SmPuIr crystal (PBE, Alexandria via LeMat-Bulk).

```
SmPuIr
1.0
4.543 0.000 0.000
-2.271 3.934 0.000
0.000 0.000 4.184
Sm Pu Ir
1 1 1
Direct
0.000 0.000 0.000
0.333 0.667 0.452
0.667 0.333 0.684
```

Values from the calculation:
Electronic total energy   -9.542 eV/atom
Fermi-level density of states   3.2207 states/eV per atom
Space-group type   P3m1, No. 156

***

Record 3
# Pa2GeSe

A relaxed Pa2GeSe crystal (PBE, Alexandria via LeMat-Bulk).

```
Pa2GeSe
1.0
1.944 1.122 7.509
-1.944 1.122 7.509
0.000 -2.245 7.509
Pa Ge Se
2 1 1
Direct
0.000 0.000 0.000
0.175 0.175 0.175
0.587 0.587 0.587
0.755 0.755 0.755
```

Values from the calculation:
Electronic total energy   -7.512 eV/atom
Formation energy (no corrections)   -71.24 kJ/mol of atoms
Fermi-level density of states   1.7534 states/eV per atom
Space-group type   R3m, No. 160

***

Which value of Fermi-level density of states does entry 2 give? 3.2207 states/eV per atom

***

The lowest Fermi-level density of states belongs to which entry? LaPr2Hg3

***

Among the records above, which one has the lowest electronic total energy? SmPuIr

***

What is the formula in the first record? LaPr2Hg3